No. 1
This record from Alexandria describes crystalline RbSiAsCl at its relaxed geometry. The functional is PBE-GGA.

Cell: 3.8625 3.9513 7.7174 Å, 80.04 80.08 77.22°
Last column: nearest neighbours and their distance in Å.
Sites, in units of the cell vectors:
Rb  0.0000  0.0000  0.0000  2 Cl 3.11-3.12
Si  0.3613  0.3734  0.5657  1 Cl 2.32, 2 As 2.41-2.55
As  0.7323  0.7348  0.6350  3 Si 2.41-2.63
Cl  0.4368  0.4377  0.2576  1 Si 2.32

E, eV per atom: -3.82
Energy relative to the elements, uncorrected, meV/atom: -598
Density of states at the Fermi level, states/eV per cell: 0.450
Total magnetic moment, μB/f.u.: 0.00
Energy relative to the lowest polymorph listed for this composition, eV/atom: 0.000
Space-group type: P1, No. 1



No. 2
This record from Alexandria describes crystalline TiMoCl3 at its relaxed geometry. The functional is PBE-GGA.

Cell: 4.8646 4.8646 4.8646 Å, 90.00 90.00 90.00°
Last column: nearest neighbours and their distance in Å.
Sites, in units of the cell vectors:
Ti  0.0000  0.0000  0.0000  6 Cl 2.43
Mo  0.5000  0.5000  0.5000  12 Cl 3.44
Cl  0.0000  0.0000  0.5000  2 Ti 2.43
Cl  0.0000  0.5000  0.0000  2 Ti 2.43
Cl  0.5000  0.0000  0.0000  2 Ti 2.43

E, eV per atom: -4.91
Energy relative to the elements, uncorrected, meV/atom: -57
Density of states at the Fermi level, states/eV per cell: 4.776
Total magnetic moment, μB/f.u.: 5.19
Energy relative to the lowest polymorph listed for this composition, eV/atom: 0.000
Space-group type: Pm-3m, No. 221



What is the density of states at the Fermi level in the first record?
0.450 states/eV per cell



Look up the total magnetic moment of the first one.
0.00 μB/f.u.



Which value of energy relative to the elements, uncorrected does entry 2 give?
-57 meV/atom



Which formula does entry 2 have?
TiMoCl3